NaCaIn | Alexandria via LeMat-Bulk | PBE-GGA | relaxed; E above lowest polymorph = 51 meV per atom; ΔH_f (0 K) = -0.13 eV/atom; electronic total energy = -12.908 eV per cell; spin magnetization = 0.00 Bohr magnetons per cell
1.0
5.2536 -0.0032 0.0284
2.6230 4.5467 0.0232
-0.0327 -0.0171 7.7917
Na Ca In
2 2 2
Cartesian
3.9226 0.7467 4.0824 Na
3.9213 3.7796 3.7610 Na
6.5388 2.2571 6.0565 Ca
1.3052 2.2693 1.7869 Ca
3.9374 0.7548 0.4684 In
3.9065 3.7716 7.3750 In